No. 1
## Mn3Pb4 (PBE)

Data for an optimized crystal structure of Mn3Pb4.

Total moment (μB/atom): 1.584
Fermi-level density of states (states/eV/atom): 0.633
E (eV/atom): -5.62

Unit cell a=5.6020 b=5.6020 c=6.0250 alpha=90.00 beta=90.00 gamma=120.00
Fractional positions:
Mn 0.0000 0.5000 0.0000
Mn 0.5000 0.0000 0.0000
Mn 0.5000 0.5000 0.0000
Pb 0.0000 0.0000 0.2459
Pb 0.0000 0.0000 0.7541
Pb 0.3333 0.6667 0.5000
Pb 0.6667 0.3333 0.5000



No. 2
## SrAl2 (PBE)

Data for an optimized crystal structure of SrAl2.

Total moment (μB/atom): 0.000
Fermi-level density of states (states/eV/atom): 0.717
E (eV/atom): -3.30

Unit cell a=5.8517 b=5.8517 c=5.8517 alpha=60.00 beta=60.00 gamma=60.00
Fractional positions:
Sr 0.1250 0.1250 0.1250
Sr 0.8750 0.8750 0.8750
Al 0.0000 0.5000 0.5000
Al 0.5000 0.0000 0.5000
Al 0.5000 0.5000 0.0000
Al 0.5000 0.5000 0.5000



No. 3
## CsLa2Cu (PBE)

Data for an optimized crystal structure of CsLa2Cu.

Total moment (μB/atom): 0.000
Fermi-level density of states (states/eV/atom): 0.685
ΔE to the lowest computed polymorph (kJ/mol of formula units): 0

Unit cell a=7.3152 b=7.3152 c=7.3152 alpha=104.85 beta=104.85 gamma=119.17
Fractional positions:
Cs 0.0000 0.0000 0.0000
Cs 0.7500 0.2500 0.5000
La 0.1961 0.1250 0.5711
La 0.3750 0.8039 0.9289
La 0.5539 0.6250 0.4289
La 0.8750 0.4461 0.0711
Cu 0.2500 0.7500 0.5000
Cu 0.5000 0.5000 0.0000



No. 4
## EuPuAlCd (PBE)

Data for an optimized crystal structure of EuPuAlCd.

Total moment (μB/atom): 0.291
Fermi-level density of states (states/eV/atom): 3.926
E (eV/atom): -7.39

Unit cell a=5.3508 b=5.3508 c=5.3508 alpha=60.00 beta=60.00 gamma=60.00
Fractional positions:
Eu 0.0000 0.0000 0.0000
Pu 0.5000 0.5000 0.5000
Al 0.7500 0.7500 0.7500
Cd 0.2500 0.2500 0.2500



No. 5
## Ce2HfGa (PBE)

Data for an optimized crystal structure of Ce2HfGa.

Total moment (μB/atom): 0.000
Fermi-level density of states (states/eV/atom): 2.096
ΔE to the lowest computed polymorph (kJ/mol of formula units): 26

Unit cell a=3.1485 b=3.1485 c=9.6039 alpha=90.00 beta=90.00 gamma=90.00
Fractional positions:
Ce 0.0000 0.0000 0.2356
Ce 0.0000 0.0000 0.7644
Hf 0.5000 0.5000 0.5000
Ga 0.5000 0.5000 0.0000



No. 6
## DyZn3Au4 (PBE)

Data for an optimized crystal structure of DyZn3Au4.

Total moment (μB/atom): 0.000
Fermi-level density of states (states/eV/atom): 0.302
E (eV/atom): -3.11

Unit cell a=8.7083 b=8.7083 c=8.7083 alpha=30.07 beta=30.07 gamma=30.07
Fractional positions:
Dy 0.0000 0.0000 0.0000
Zn 0.2476 0.2476 0.2476
Zn 0.5000 0.5000 0.5000
Zn 0.7524 0.7524 0.7524
Au 0.1301 0.1301 0.1301
Au 0.3933 0.3933 0.3933
Au 0.6067 0.6067 0.6067
Au 0.8699 0.8699 0.8699



No. 7
## HfGeP2Cl (PBE)

Data for an optimized crystal structure of HfGeP2Cl.

Total moment (μB/atom): 0.000
Energy relative to the elements, uncorrected (eV per atom): 0.4578
Fermi-level density of states (states/eV/atom): 0.260
ΔE to the lowest computed polymorph (kJ/mol of formula units): 217

Unit cell a=4.7138 b=4.7138 c=4.5794 alpha=90.00 beta=90.00 gamma=90.00
Fractional positions:
Hf 0.0000 0.0000 0.0000
Ge 0.5000 0.5000 0.5000
P 0.0000 0.5000 0.5000
P 0.5000 0.0000 0.5000
Cl 0.5000 0.5000 0.0000



No. 8
## BaBeCdHg2 (PBE)

Data for an optimized crystal structure of BaBeCdHg2.

Total moment (μB/atom): 0.000
Fermi-level density of states (states/eV/atom): 0.549
E (eV/atom): -1.55

Unit cell a=5.0816 b=5.0816 c=5.0214 alpha=90.00 beta=90.00 gamma=90.00
Fractional positions:
Ba 0.0000 0.0000 0.0000
Be 0.5000 0.5000 0.5000
Cd 0.5000 0.5000 0.0000
Hg 0.0000 0.5000 0.5000
Hg 0.5000 0.0000 0.5000